A plane-wave DFT calculation with GGA-PBE was carried out for a relaxed structure of Cs3Bi2Pd.

Computed properties:
SG: Ibam
Uncorrected energy in eV/atom: -2.859
Fermi-level density of states in states/eV per atom: 0.44
Magnetization in μB/f.u.: 0.00

The structure in POSCAR format:
```
Cs3Bi2Pd
1.0
7.165 0.000 -3.149
-2.135 8.686 -4.858
0.147 -0.301 10.060
Cs Bi Pd
6 4 2
Direct
0.750 0.500 0.000
0.250 0.500 0.000
0.692 0.044 0.385
0.192 0.340 0.385
0.808 0.660 0.615
0.308 0.956 0.615
0.449 0.771 0.897
0.551 0.229 0.103
0.051 0.873 0.103
0.949 0.127 0.897
0.250 0.000 0.000
0.750 0.000 0.000
```

---

A plane-wave DFT calculation with GGA-PBE was carried out for a relaxed structure of CsBi2Pd.

Computed properties:
SG: Fm-3m
Uncorrected energy in eV/atom: -3.178
Fermi-level density of states in states/eV per atom: 0.61
Magnetization in μB/f.u.: 0.00

The structure in POSCAR format:
```
CsBi2Pd
1.0
0.000 3.920 3.920
3.920 0.000 3.920
3.920 3.920 0.000
Cs Bi Pd
1 2 1
Direct
0.500 0.500 0.500
0.250 0.250 0.250
0.750 0.750 0.750
0.000 0.000 0.000
```

---

A plane-wave DFT calculation with GGA-PBE was carried out for a relaxed structure of Cs2Bi2Pd.

Computed properties:
SG: I4_1/amd
Uncorrected energy in eV/atom: -2.824
Fermi-level density of states in states/eV per atom: 0.81
Magnetization in μB/f.u.: 0.00

The structure in POSCAR format:
```
Cs2Bi2Pd
1.0
-4.590 1.648 -2.546
-1.930 -5.150 0.144
-2.469 4.232 13.133
Cs Bi Pd
4 4 2
Direct
0.806 0.806 0.612
0.556 0.056 0.112
0.944 0.444 0.888
0.194 0.194 0.388
0.408 0.908 0.815
0.658 0.658 0.315
0.342 0.342 0.685
0.092 0.592 0.185
0.500 0.500 0.000
0.250 0.750 0.500
```

---

A plane-wave DFT calculation with GGA-PBE was carried out for a relaxed structure of CsBi2Pd2.

Computed properties:
SG: P4/mbm
Uncorrected energy in eV/atom: -3.905
Fermi-level density of states in states/eV per atom: 0.60
Magnetization in μB/f.u.: 0.00

The structure in POSCAR format:
```
CsBi2Pd2
1.0
9.292 0.000 0.000
0.000 9.292 0.000
0.000 0.000 3.370
Cs Bi Pd
2 4 4
Direct
0.000 0.000 0.000
0.500 0.500 0.000
0.367 0.867 0.000
0.867 0.633 0.000
0.633 0.133 0.000
0.133 0.367 0.000
0.119 0.619 0.500
0.619 0.881 0.500
0.881 0.381 0.500
0.381 0.119 0.500
```